(1)
Cs2Hg2As: relaxed, PBE.

Lattice parameters (Å, degrees): 4.377 4.377 11.621 79.15 79.15 90.00
Sites, in units of the cell vectors:
Cs 0.405 0.405 0.190
Cs 0.595 0.595 0.810
As 0.000 0.000 0.000
Hg 0.750 0.250 0.500
Hg 0.250 0.750 0.500

Output
The symmetry is I4/mmm (139). The calculated formation energy is -0.1109 eV per atom.

(2)
CsAc2UTe5: relaxed, PBE.

Lattice parameters (Å, degrees): 5.749 8.375 9.571 115.95 107.48 90.00
Sites, in units of the cell vectors:
Cs 0.000 0.500 0.000
Ac 0.203 0.203 0.405
Ac 0.797 0.797 0.595
U 0.500 0.000 0.000
Te 0.649 0.913 0.297
Te 0.351 0.087 0.703
Te 0.351 0.615 0.703
Te 0.649 0.385 0.297
Te 0.000 0.000 0.000

Output
The symmetry is Immm (71). For the uncorrected formation energy, the calculation gives -115 kJ per mole of atoms.

(3)
Pm4Er2Sc3: relaxed, PBE.

Lattice parameters (Å, degrees): 4.889 7.858 7.800 107.42 108.26 90.00
Sites, in units of the cell vectors:
Pm 0.552 0.332 0.104
Pm 0.776 0.667 0.552
Pm 0.448 0.668 0.896
Pm 0.224 0.333 0.448
Er 0.335 0.002 0.670
Er 0.665 0.998 0.330
Sc 0.889 0.328 0.779
Sc 0.111 0.672 0.221
Sc 0.000 0.000 0.000

Output
The symmetry is C2/m (12). The calculated formation energy is 0.0506 eV per atom.

Total moment list, top to bottom, in μB per cell: 0.00 2.97 0.00
Total DFT energy (no corrections) list, top to bottom, in eV/atom: -1.503 -5.200 -5.185
Ρ list, top to bottom, in Mg/m³: 5.74 6.22 6.45